A relaxed structure of NaYTc2O8. Source: Alexandria, functional PBE-GGA.

Properties
For the formation energy without anion corrections, the calculation gives -1863 meV/atom.

```
NaYTc2O8
1.0
5.9514 0.0000 0.0000
-2.9757 5.1541 0.0000
0.0000 0.0000 6.8690
Na Y Tc O
1 1 2 8
Direct
0.0000 0.0000 0.0000
0.0000 0.0000 0.5000
0.6667 0.3333 0.2037
0.3333 0.6667 0.7963
0.3333 0.6667 0.0493
0.3362 0.1681 0.2898
0.8319 0.1681 0.2898
0.6667 0.3333 0.9507
0.1681 0.8319 0.7102
0.6638 0.8319 0.7102
0.1681 0.3362 0.7102
0.8319 0.6638 0.2898
```